(1)
# LaPrNd3Th | Alexandria via LeMat-Bulk | PBE | optimized geometry
data_LaPrNd3Th
_space_group_name_H-M_alt 'P 1 21/m 1'
_space_group_IT_number 11
_cell_length_a 8.232
_cell_length_b 5.192
_cell_length_c 10.413
_cell_angle_alpha 90.00
_cell_angle_beta 108.26
_cell_angle_gamma 90.00
loop_
_space_group_symop_operation_xyz
'x,y,z'
'-x,-y,-z'
'-x,y+1/2,-z'
'x,-y+1/2,z'
loop_
_atom_site_label
_atom_site_fract_x
_atom_site_fract_y
_atom_site_fract_z
La1 0.180 0.250 0.297
Pr1 0.498 0.750 0.868
Nd1 0.172 0.250 0.791
Nd2 0.172 0.750 0.046
Nd3 0.180 0.750 0.543
Th1 0.500 0.250 0.619
# ΔE_f	0.032	eV/atom
# Fermi-level density of states	1.56	states/eV/atom

(2)
# CdBr2Cl | Alexandria via LeMat-Bulk | PBE | optimized geometry
data_CdBr2Cl
_space_group_name_H-M_alt 'C 1 m 1'
_space_group_IT_number 8
_cell_length_a 11.259
_cell_length_b 3.749
_cell_length_c 8.819
_cell_angle_alpha 90.00
_cell_angle_beta 128.74
_cell_angle_gamma 90.00
loop_
_space_group_symop_operation_xyz
'x,y,z'
'x,-y,z'
'x+1/2,y+1/2,z'
'x+1/2,-y+1/2,z'
loop_
_atom_site_label
_atom_site_fract_x
_atom_site_fract_y
_atom_site_fract_z
Cd1 0.000 0.000 0.000
Br1 0.250 0.500 0.238
Br2 0.485 0.000 0.240
Cl1 0.376 0.000 0.749
# formation energy from raw total energies	-0.496	eV/atom
# polymorph energy (0 for the lowest one)	0.0647	eV per atom
# Fermi-level density of states	0.52	states/eV/atom

- What is the Fermi-level density of states in the second record?
  0.52 states/eV/atom